<P>
Hf6CoBi2 | PBE | relaxed

Calculated values
The magnetic moment is 0.00 μB per formula unit. The value obtained for the density of states at the Fermi level is 0.64 states/eV/atom.

```
Hf6CoBi2
1.0
7.8649 0.0000 0.0000
-3.9324 6.8112 0.0000
0.0000 0.0000 3.6244
Hf Co Bi
6 1 2
Direct
0.0000 0.2341 0.0000 Hf
0.0000 0.6136 0.5000 Hf
0.2341 0.0000 0.0000 Hf
0.3864 0.3864 0.5000 Hf
0.6136 0.0000 0.5000 Hf
0.7659 0.7659 0.0000 Hf
0.0000 0.0000 0.5000 Co
0.3333 0.6667 0.0000 Bi
0.6667 0.3333 0.0000 Bi
```

***

<Q>
Hf6CoBi2 | PBE | relaxed

Calculated values
The magnetic moment is 0.00 μB per formula unit. The value obtained for the density of states at the Fermi level is 0.75 states/eV/atom.

```
Hf6CoBi2
1.0
5.8411 0.0000 0.0000
0.0000 7.1048 0.0000
-5.7465 0.0000 9.6907
Hf Co Bi
12 2 4
Direct
0.1141 0.0305 0.2480 Hf
0.1141 0.4695 0.7480 Hf
0.1677 0.6731 0.0198 Hf
0.1677 0.8269 0.5198 Hf
0.3855 0.2135 0.0283 Hf
0.3855 0.2865 0.5283 Hf
0.6145 0.7135 0.4717 Hf
0.6145 0.7865 0.9717 Hf
0.8323 0.1731 0.4802 Hf
0.8323 0.3269 0.9802 Hf
0.8859 0.5305 0.2520 Hf
0.8859 0.9695 0.7520 Hf
0.0000 0.0000 0.0000 Co
0.0000 0.5000 0.5000 Co
0.3774 0.0935 0.7611 Bi
0.3774 0.4065 0.2611 Bi
0.6226 0.5935 0.7389 Bi
0.6226 0.9065 0.2389 Bi
```

***

Here is how they stack up, most stable first: <P>, <Q>.

***

<P>
HfCoBiW2 | PBE | relaxed

Calculated values
The magnetic moment is 0.00 μB per formula unit. The value obtained for the density of states at the Fermi level is 1.68 states/eV/atom.

```
HfCoBiW2
1.0
4.9626 0.0000 0.0000
0.0000 4.9626 0.0000
0.0000 0.0000 4.5057
Hf Co Bi W
1 1 1 2
Direct
0.0000 0.0000 0.0000 Hf
0.0000 0.0000 0.5000 Co
0.5000 0.5000 0.5000 Bi
0.0000 0.5000 0.0000 W
0.5000 0.0000 0.0000 W
```

***

<Q>
HfCoBiW2 | PBE | relaxed

Calculated values
The magnetic moment is 0.00 μB per formula unit. The value obtained for the density of states at the Fermi level is 0.90 states/eV/atom.

```
HfCoBiW2
1.0
4.5895 0.0000 0.0000
0.0000 4.5895 0.0000
0.0000 0.0000 4.7366
Hf Co Bi W
1 1 1 2
Direct
0.0000 0.0000 0.0000 Hf
0.5000 0.5000 0.5000 Co
0.5000 0.5000 0.0000 Bi
0.0000 0.5000 0.5000 W
0.5000 0.0000 0.5000 W
```

***

Here is how they stack up, most stable first: <Q>, <P>.

***

<P>
Co2HgBi | PBE | relaxed

Calculated values
The magnetic moment is 2.12 μB per formula unit. The value obtained for the density of states at the Fermi level is 1.90 states/eV/atom.

```
Co2HgBi
1.0
-3.5896 3.5896 2.9417
3.5896 -3.5896 2.9417
3.5896 3.5896 -2.9417
Co Hg Bi
4 2 2
Direct
0.1226 0.1250 0.4976 Co
0.3750 0.8774 0.0024 Co
0.6274 0.6250 0.5024 Co
0.8750 0.3726 0.9976 Co
0.2500 0.7500 0.5000 Hg
0.5000 0.5000 0.0000 Hg
0.0000 0.0000 0.0000 Bi
0.7500 0.2500 0.5000 Bi
```

***

<Q>
Co2HgBi | PBE | relaxed

Calculated values
The magnetic moment is 1.79 μB per formula unit. The value obtained for the density of states at the Fermi level is 0.79 states/eV/atom.

```
Co2HgBi
1.0
0.0000 3.2389 3.2389
3.2389 0.0000 3.2389
3.2389 3.2389 0.0000
Co Hg Bi
2 1 1
Direct
0.2500 0.2500 0.2500 Co
0.7500 0.7500 0.7500 Co
0.0000 0.0000 0.0000 Hg
0.5000 0.5000 0.5000 Bi
```

***

Here is how they stack up, most stable first: <Q>, <P>.

***

<P>
Co3HgBi | PBE | relaxed

Calculated values
The magnetic moment is 5.69 μB per formula unit. The value obtained for the density of states at the Fermi level is 1.96 states/eV/atom.

```
Co3HgBi
1.0
4.9037 0.0000 0.0000
0.0000 4.9037 0.0000
0.0000 0.0000 4.9037
Co Hg Bi
3 1 1
Direct
0.0000 0.0000 0.5000 Co
0.0000 0.5000 0.0000 Co
0.5000 0.0000 0.0000 Co
0.5000 0.5000 0.5000 Hg
0.0000 0.0000 0.0000 Bi
```

***

<Q>
Co3HgBi | PBE | relaxed

Calculated values
The magnetic moment is 4.95 μB per formula unit. The value obtained for the density of states at the Fermi level is 2.15 states/eV/atom.

```
Co3HgBi
1.0
4.7846 0.0000 0.0000
0.0000 4.7846 0.0000
0.0000 0.0000 4.7846
Co Hg Bi
3 1 1
Direct
0.0000 0.0000 0.5000 Co
0.0000 0.5000 0.0000 Co
0.5000 0.0000 0.0000 Co
0.0000 0.0000 0.0000 Hg
0.5000 0.5000 0.5000 Bi
```

***

Here is how they stack up, most stable first: <Q>, <P>.

***

<P>
CoHg2BiOs | PBE | relaxed

Calculated values
The magnetic moment is 1.38 μB per formula unit. The value obtained for the density of states at the Fermi level is 1.10 states/eV/atom.

```
CoHg2BiOs
1.0
5.2486 0.0000 0.0000
0.0000 5.2486 0.0000
0.0000 0.0000 4.5126
Co Hg Bi Os
1 2 1 1
Direct
0.0000 0.0000 0.0000 Co
0.0000 0.5000 0.5000 Hg
0.5000 0.0000 0.5000 Hg
0.5000 0.5000 0.0000 Bi
0.0000 0.0000 0.5000 Os
```

***

<Q>
CoHg2BiOs | PBE | relaxed

Calculated values
The magnetic moment is 0.00 μB per formula unit. The value obtained for the density of states at the Fermi level is 0.97 states/eV/atom.

```
CoHg2BiOs
1.0
4.9325 0.0000 0.0000
0.0000 4.9325 0.0000
0.0000 0.0000 4.5264
Co Hg Bi Os
1 2 1 1
Direct
0.0000 0.0000 0.0000 Co
0.0000 0.5000 0.0000 Hg
0.5000 0.0000 0.0000 Hg
0.5000 0.5000 0.5000 Bi
0.0000 0.0000 0.5000 Os
```

***

Here is how they stack up, most stable first: <Q>, <P>.

***

<P>
Ho5CoBi2 | PBE | relaxed

Calculated values
The magnetic moment is 0.00 μB per formula unit. The value obtained for the density of states at the Fermi level is 0.50 states/eV/atom.

```
Ho5CoBi2
1.0
2.7008 -7.9845 0.0000
2.7008 7.9845 0.0000
0.0000 0.0000 14.1161
Ho Co Bi
10 2 4
Direct
0.0534 0.9466 0.6234 Ho
0.0534 0.9466 0.8766 Ho
0.2700 0.7300 0.6090 Ho
0.2700 0.7300 0.8910 Ho
0.3107 0.6893 0.2500 Ho
0.6893 0.3107 0.7500 Ho
0.7300 0.2700 0.1090 Ho
0.7300 0.2700 0.3910 Ho
0.9466 0.0534 0.1234 Ho
0.9466 0.0534 0.3766 Ho
0.1659 0.8341 0.7500 Co
0.8341 0.1659 0.2500 Co
0.1415 0.8585 0.0759 Bi
0.1415 0.8585 0.4241 Bi
0.8585 0.1415 0.5759 Bi
0.8585 0.1415 0.9241 Bi
```

***

<Q>
Ho5CoBi2 | PBE | relaxed

Calculated values
The magnetic moment is 0.00 μB per formula unit. The value obtained for the density of states at the Fermi level is 0.46 states/eV/atom.

```
Ho5CoBi2
1.0
8.0639 0.0000 0.0000
0.0000 12.3288 0.0000
0.0000 0.0000 4.4292
Ho Co Bi
10 2 4
Direct
0.0000 0.0000 0.0000 Ho
0.1352 0.3110 0.0000 Ho
0.1775 0.5608 0.5000 Ho
0.3225 0.0608 0.5000 Ho
0.3648 0.8110 0.0000 Ho
0.5000 0.5000 0.0000 Ho
0.6352 0.1890 0.0000 Ho
0.6775 0.9392 0.5000 Ho
0.8225 0.4392 0.5000 Ho
0.8648 0.6890 0.0000 Ho
0.0000 0.5000 0.0000 Co
0.5000 0.0000 0.0000 Co
0.0698 0.8249 0.5000 Bi
0.4302 0.3249 0.5000 Bi
0.5698 0.6751 0.5000 Bi
0.9302 0.1751 0.5000 Bi
```

***

Here is how they stack up, most stable first: <Q>, <P>.

***

<P>
Co3BiI | PBE | relaxed

Calculated values
The magnetic moment is 1.03 μB per formula unit. The value obtained for the density of states at the Fermi level is 2.09 states/eV/atom.

```
Co3BiI
1.0
4.6494 0.0000 0.0000
0.0000 4.6494 0.0000
0.0000 0.0000 4.6494
Co Bi I
3 1 1
Direct
0.0000 0.0000 0.5000 Co
0.0000 0.5000 0.0000 Co
0.5000 0.0000 0.0000 Co
0.5000 0.5000 0.5000 Bi
0.0000 0.0000 0.0000 I
```

***

<Q>
Co3BiI | PBE | relaxed

Calculated values
The magnetic moment is 7.00 μB per formula unit. The value obtained for the density of states at the Fermi level is 1.11 states/eV/atom.

```
Co3BiI
1.0
5.0769 0.0000 0.0000
0.0000 5.0769 0.0000
0.0000 0.0000 5.0769
Co Bi I
3 1 1
Direct
0.0000 0.0000 0.5000 Co
0.0000 0.5000 0.0000 Co
0.5000 0.0000 0.0000 Co
0.0000 0.0000 0.0000 Bi
0.5000 0.5000 0.5000 I
```

***

Here is how they stack up, most stable first: <P>, <Q>.

***

<P>
Co2BiI | PBE | relaxed

Calculated values
The magnetic moment is 1.45 μB per formula unit. The value obtained for the density of states at the Fermi level is 2.83 states/eV/atom.

```
Co2BiI
1.0
0.0000 3.3489 3.3489
3.3489 0.0000 3.3489
3.3489 3.3489 0.0000
Co Bi I
2 1 1
Direct
0.2500 0.2500 0.2500 Co
0.7500 0.7500 0.7500 Co
0.0000 0.0000 0.0000 Bi
0.5000 0.5000 0.5000 I
```

***

<Q>
Co2BiI | PBE | relaxed

Calculated values
The magnetic moment is 2.67 μB per formula unit. The value obtained for the density of states at the Fermi level is 1.17 states/eV/atom.

```
Co2BiI
1.0
-3.0425 3.0425 5.4257
3.0425 -3.0425 5.4257
3.0425 3.0425 -5.4257
Co Bi I
4 2 2
Direct
0.1150 0.6250 0.9900 Co
0.3750 0.3650 0.4900 Co
0.6350 0.1250 0.0100 Co
0.8750 0.8850 0.5100 Co
0.2500 0.7500 0.5000 Bi
0.5000 0.5000 0.0000 Bi
0.0000 0.0000 0.0000 I
0.7500 0.2500 0.5000 I
```

***

Here is how they stack up, most stable first: <Q>, <P>.